[1]
# Ga2Mo3C | Alexandria via LeMat-Bulk | PBE | optimized geometry
data_Ga2Mo3C
_chemical_formula_sum 'Ga8 Mo12 C4'
_cell_length_a 6.064
_cell_length_b 9.745
_cell_length_c 6.301
_cell_angle_alpha 90.00
_cell_angle_beta 106.03
_cell_angle_gamma 90.00
_symmetry_space_group_name_H-M 'C 1 2/m 1'
_symmetry_Int_Tables_number 12
loop_
_symmetry_equiv_pos_as_xyz
'x,y,z'
'-x,-y,-z'
'-x,y,-z'
'x,-y,z'
'x+1/2,y+1/2,z'
'-x+1/2,-y+1/2,-z'
'-x+1/2,y+1/2,-z'
'x+1/2,-y+1/2,z'
loop_
_atom_site_label
_atom_site_fract_x
_atom_site_fract_y
_atom_site_fract_z
Ga1 0.000 0.000 0.000
Ga2 0.000 0.125 0.500
Ga3 0.000 0.500 0.500
Mo1 0.172 0.500 0.171
Mo2 0.201 0.299 0.787
C1 0.000 0.312 0.000
# - Formation enthalpy at 0 K: 0.19 eV per atom
# - Calculated total energy: -186.5 eV per cell



[2]
# HoHfGaTc | Alexandria via LeMat-Bulk | PBE | optimized geometry
data_HoHfGaTc
_chemical_formula_sum 'Ho4 Hf4 Ga4 Tc4'
_cell_length_a 6.771
_cell_length_b 6.771
_cell_length_c 6.771
_cell_angle_alpha 90.00
_cell_angle_beta 90.00
_cell_angle_gamma 90.00
_symmetry_space_group_name_H-M 'F -4 3 m'
_symmetry_Int_Tables_number 216
_symmetry_space_group_name_Hall 'F -4 2 3'
loop_
_atom_site_label
_atom_site_fract_x
_atom_site_fract_y
_atom_site_fract_z
Ho1 0.000 0.000 0.000
Hf1 0.000 0.000 0.500
Ga1 0.250 0.250 0.750
Tc1 0.250 0.250 0.250
# - Formation enthalpy at 0 K: -0.31 eV per atom
# - Calculated total energy: -116.6 eV per cell



[3]
# GaHg | Alexandria via LeMat-Bulk | PBE | optimized geometry
data_GaHg
_chemical_formula_sum 'Ga6 Hg6'
_cell_length_a 7.692
_cell_length_b 7.692
_cell_length_c 7.692
_cell_angle_alpha 90.00
_cell_angle_beta 90.00
_cell_angle_gamma 90.00
_symmetry_space_group_name_H-M 'P m -3 n'
_symmetry_Int_Tables_number 223
_symmetry_space_group_name_Hall '-P 4n 2 3'
loop_
_atom_site_label
_atom_site_fract_x
_atom_site_fract_y
_atom_site_fract_z
Ga1 0.000 0.250 0.500
Hg1 0.000 0.500 0.250
# - Formation enthalpy at 0 K: 0.33 eV per atom
# - Calculated total energy: -16.0 eV per cell



[4]
# Tb2CuBr | Alexandria via LeMat-Bulk | PBE | optimized geometry
data_Tb2CuBr
_chemical_formula_sum 'Tb6 Cu3 Br3'
_cell_length_a 4.0240
_cell_length_b 4.0240
_cell_length_c 21.9920
_cell_angle_alpha 90.00
_cell_angle_beta 90.00
_cell_angle_gamma 120.00
_symmetry_space_group_name_H-M 'R -3 m'
_symmetry_Int_Tables_number 166
_symmetry_space_group_name_Hall '-R 3 2"'
loop_
_atom_site_label
_atom_site_fract_x
_atom_site_fract_y
_atom_site_fract_z
Tb1 0.0000 0.0000 0.2367
Cu1 0.0000 0.0000 0.5000
Br1 0.0000 0.0000 0.0000
# - E above lowest polymorph: 0.00 eV per formula unit
# - Calculated total energy: -52.7 eV per cell



[5]
# Pm6Zn5Ru | Alexandria via LeMat-Bulk | PBE | optimized geometry
data_Pm6Zn5Ru
_chemical_formula_sum 'Pm12 Zn10 Ru2'
_cell_length_a 5.143
_cell_length_b 15.372
_cell_length_c 7.284
_cell_angle_alpha 90.00
_cell_angle_beta 90.00
_cell_angle_gamma 90.00
_symmetry_space_group_name_H-M 'C m m m'
_symmetry_Int_Tables_number 65
_symmetry_space_group_name_Hall '-C 2 2'
loop_
_atom_site_label
_atom_site_fract_x
_atom_site_fract_y
_atom_site_fract_z
Pm1 0.000 0.000 0.239
Pm2 0.000 0.340 0.245
Zn1 0.000 0.168 0.500
Zn2 0.000 0.175 0.000
Zn3 0.000 0.500 0.500
Ru1 0.000 0.500 0.000
# - Formation enthalpy at 0 K: -0.31 eV per atom
# - Calculated total energy: -95.9 eV per cell



[6]
# Sm4Tm9In11 | Alexandria via LeMat-Bulk | PBE | optimized geometry
data_Sm4Tm9In11
_chemical_formula_sum 'Sm8 Tm18 In22'
_cell_length_a 15.927
_cell_length_b 23.331
_cell_length_c 3.450
_cell_angle_alpha 90.00
_cell_angle_beta 90.00
_cell_angle_gamma 90.00
_symmetry_space_group_name_H-M 'C m m m'
_symmetry_Int_Tables_number 65
_symmetry_space_group_name_Hall '-C 2 2'
loop_
_atom_site_label
_atom_site_fract_x
_atom_site_fract_y
_atom_site_fract_z
Sm1 0.175 0.081 0.000
Tm1 0.000 0.000 0.000
Tm2 0.106 0.402 0.000
Tm3 0.111 0.222 0.000
In1 0.000 0.121 0.500
In2 0.000 0.310 0.500
In3 0.000 0.500 0.500
In4 0.197 0.500 0.500
In5 0.224 0.315 0.500
# - Formation enthalpy at 0 K: -0.38 eV per atom
# - Calculated total energy: -196.5 eV per cell



[7]
# La4SbTeAs2 | Alexandria via LeMat-Bulk | PBE | optimized geometry
data_La4SbTeAs2
_chemical_formula_sum 'La4 Sb1 Te1 As2'
_cell_length_a 7.739
_cell_length_b 4.470
_cell_length_c 7.823
_cell_angle_alpha 90.00
_cell_angle_beta 109.20
_cell_angle_gamma 90.00
_symmetry_space_group_name_H-M 'P 1 2/m 1'
_symmetry_Int_Tables_number 10
loop_
_symmetry_equiv_pos_as_xyz
'x,y,z'
'-x,-y,-z'
'-x,y,-z'
'x,-y,z'
loop_
_atom_site_label
_atom_site_fract_x
_atom_site_fract_y
_atom_site_fract_z
La1 0.240 0.000 0.229
La2 0.253 0.500 0.768
Sb1 0.000 0.000 0.500
Te1 0.500 0.500 0.500
As1 0.000 0.500 0.000
As2 0.500 0.000 0.000
# - Calculated total energy: -48.7 eV per cell



[8]
# Li3Cl2O2 | Alexandria via LeMat-Bulk | PBE | optimized geometry
data_Li3Cl2O2
_chemical_formula_sum 'Li6 Cl4 O4'
_cell_length_a 15.064
_cell_length_b 3.743
_cell_length_c 3.687
_cell_angle_alpha 90.00
_cell_angle_beta 93.34
_cell_angle_gamma 90.00
_symmetry_space_group_name_H-M 'C 1 2/m 1'
_symmetry_Int_Tables_number 12
loop_
_symmetry_equiv_pos_as_xyz
'x,y,z'
'-x,-y,-z'
'-x,y,-z'
'x,-y,z'
'x+1/2,y+1/2,z'
'-x+1/2,-y+1/2,-z'
'-x+1/2,y+1/2,-z'
'x+1/2,-y+1/2,z'
loop_
_atom_site_label
_atom_site_fract_x
_atom_site_fract_y
_atom_site_fract_z
Li1 0.000 0.000 0.000
Li2 0.170 0.500 0.229
Cl1 0.165 0.000 0.725
O1 0.027 0.500 0.154
# - Calculated total energy: -57.8 eV per cell